[1]
Entry from Alexandria via LeMat-Bulk: a relaxed LiSmTmAu crystal (PBE-GGA).

For the total moment, the calculation gives 0.00 μB/f.u. The calculation puts the formation energy at -390 meV per atom.

The space group is F-43m (No. 216) and the conventional cell measures 7.247, 7.247 and 7.247 Å, with angles of 90.00, 90.00 and 90.00 degrees. Symmetry generates all atoms from Li at (0.000, 0.000, 0.000), Sm at (0.250, 0.250, 0.750), Tm at (0.250, 0.250, 0.250) and Au at (0.000, 0.000, 0.500).

***

[2]
Entry from Alexandria via LeMat-Bulk: a relaxed KTcRh2 crystal (PBE-GGA).

For the total moment, the calculation gives 0.00 μB/f.u. The energy above the lowest structure with this stoichiometry is 0.206 eV/atom. The calculation puts the formation energy at 539 meV per atom.

The space group is C2/m (No. 12) and the conventional cell measures 8.446, 2.719 and 7.237 Å, with angles of 90.00, 93.19 and 90.00 degrees. Symmetry generates all atoms from K at (0.000, 0.000, 0.000), Tc at (0.000, 0.500, 0.500) and Rh at (0.240, 0.000, 0.658).

***

[3]
Entry from Alexandria via LeMat-Bulk: a relaxed Y6BiTe3Se2 crystal (PBE-GGA).

For the total moment, the calculation gives 0.00 μB/f.u. The calculation puts the formation energy from raw total energies at -1.398 eV/atom.

The space group is C2/m (No. 12) and the conventional cell measures 7.400, 12.821 and 7.519 Å, with angles of 90.00, 109.22 and 90.00 degrees. Symmetry generates all atoms from Y at (0.219, 0.000, 0.221), Y at (0.246, 0.176, 0.772), Bi at (0.000, 0.500, 0.000), Te at (0.000, 0.000, 0.500), Te at (0.000, 0.341, 0.500) and Se at (0.000, 0.169, 0.000).

***

[4]
Entry from Alexandria via LeMat-Bulk: a relaxed Tm3Ru5N12 crystal (PBE-GGA).

For the total moment, the calculation gives 0.00 μB/f.u. The calculation puts the formation energy from raw total energies at -0.142 eV/atom.

The space group is Ia-3d (No. 230) and the conventional cell measures 12.518, 12.518 and 12.518 Å, with angles of 90.00, 90.00 and 90.00 degrees. Symmetry generates all atoms from Tm at (0.000, 0.250, 0.125), Ru at (0.000, 0.000, 0.000), Ru at (0.000, 0.250, 0.375) and N at (0.031, 0.054, 0.651).

***

[5]
Entry from Alexandria via LeMat-Bulk: a relaxed PaBeCu2 crystal (PBE-GGA).

For the total moment, the calculation gives 0.00 μB/f.u. The calculation puts the formation energy at 54 meV per atom.

The space group is R-3m (No. 166, hexagonal axes) and the conventional cell measures 3.9206, 3.9206 and 14.1834 Å, with angles of 90.00, 90.00 and 120.00 degrees. Symmetry generates all atoms from Pa at (0.0000, 0.0000, 0.0000), Be at (0.0000, 0.0000, 0.5000) and Cu at (0.0000, 0.0000, 0.2063).

***

[6]
Entry from Alexandria via LeMat-Bulk: a relaxed Mg8CdHg2 crystal (PBE-GGA).

For the total moment, the calculation gives 0.00 μB/f.u. The energy above the lowest structure with this stoichiometry is 0.000 eV/atom. The calculation puts the formation energy at -118 meV per atom.

The space group is Immm (No. 71) and the conventional cell measures 4.653, 7.556 and 13.827 Å, with angles of 90.00, 90.00 and 90.00 degrees. Symmetry generates all atoms from Mg at (0.000, 0.000, 0.155), Mg at (0.000, 0.223, 0.342), Mg at (0.000, 0.294, 0.000), Cd at (0.000, 0.500, 0.500) and Hg at (0.000, 0.500, 0.186).

***

[7]
Entry from Alexandria via LeMat-Bulk: a relaxed CaCd2ReIr crystal (PBE-GGA).

For the total moment, the calculation gives 4.31 μB/f.u. The calculation puts the formation energy at 1218 meV per atom.

The space group is P4/mmm (No. 123) and the conventional cell measures 5.182, 5.182 and 5.233 Å, with angles of 90.00, 90.00 and 90.00 degrees. Symmetry generates all atoms from Ca at (0.000, 0.000, 0.000), Cd at (0.000, 0.500, 0.500), Re at (0.500, 0.500, 0.000) and Ir at (0.000, 0.000, 0.500).

***

[8]
Entry from Alexandria via LeMat-Bulk: a relaxed Ba3CaCd crystal (PBE-GGA).

For the total moment, the calculation gives 0.00 μB/f.u. The energy above the lowest structure with this stoichiometry is 0.000 eV/atom. The calculation puts the formation energy at -83 meV per atom.

The space group is C2/m (No. 12) and the conventional cell measures 13.113, 5.999 and 12.243 Å, with angles of 90.00, 94.28 and 90.00 degrees. Symmetry generates all atoms from Ba at (0.034, 0.000, 0.334), Ba at (0.105, 0.500, 0.889), Ba at (0.217, 0.500, 0.210), Ca at (0.158, 0.500, 0.548) and Cd at (0.107, 0.000, 0.059).

***

[9]
Entry from Alexandria via LeMat-Bulk: a relaxed Ti12Rh5O2 crystal (PBE-GGA).

For the total moment, the calculation gives 0.00 μB/f.u. The calculation puts the formation energy from raw total energies at -0.817 eV/atom.

The space group is C2/m (No. 12) and the conventional cell measures 15.427, 5.910 and 6.843 Å, with angles of 90.00, 113.15 and 90.00 degrees. Symmetry generates all atoms from Ti at (0.004, 0.000, 0.243), Ti at (0.027, 0.500, 0.349), Ti at (0.144, 0.247, 0.149), Ti at (0.145, 0.247, 0.660), Rh at (0.000, 0.500, 0.000), Rh at (0.245, 0.000, 0.997), Rh at (0.249, 0.000, 0.496) and O at (0.000, 0.217, 0.500).

***

[10]
Entry from Alexandria via LeMat-Bulk: a relaxed AcTaGe2Ru crystal (PBE-GGA).

For the total moment, the calculation gives 0.00 μB/f.u. The calculation puts the formation energy at -464 meV per atom.

The space group is I-4m2 (No. 119) and the conventional cell measures 4.211, 4.211 and 11.782 Å, with angles of 90.00, 90.00 and 90.00 degrees. Symmetry generates all atoms from Ac at (0.000, 0.000, 0.000), Ta at (0.000, 0.500, 0.250), Ge at (0.000, 0.000, 0.380) and Ru at (0.000, 0.500, 0.750).